No. 1
VASP calculation (GGA-PBEsol) on AsIF12 after structural relaxation.

```
AsIF12
1.0
9.3895 0.0000 0.0000
0.0000 9.3895 0.0000
0.0000 0.0000 9.3895
F As I
48 4 4
Direct
0.1447 0.0603 0.3967
0.6402 0.5628 0.8830
0.1447 0.4397 0.8967
0.8553 0.9397 0.6033
0.9397 0.8967 0.3553
0.4397 0.8967 0.1447
0.4372 0.3830 0.8598
0.8830 0.8598 0.0628
0.4397 0.6033 0.6447
0.1402 0.9372 0.1170
0.3830 0.6402 0.9372
0.3598 0.4372 0.1170
0.6170 0.1402 0.5628
0.3830 0.8598 0.4372
0.8967 0.1447 0.4397
0.6447 0.4397 0.6033
0.3598 0.0628 0.6170
0.8598 0.0628 0.8830
0.5628 0.6170 0.1402
0.9372 0.3830 0.6402
0.8830 0.6402 0.5628
0.6033 0.6447 0.4397
0.3967 0.1447 0.0603
0.3553 0.9397 0.8967
0.8598 0.4372 0.3830
0.1170 0.1402 0.9372
0.0603 0.1033 0.6447
0.5603 0.3967 0.3553
0.8967 0.3553 0.9397
0.6402 0.9372 0.3830
0.9397 0.6033 0.8553
0.0603 0.3967 0.1447
0.5603 0.1033 0.8553
0.8553 0.5603 0.1033
0.6447 0.0603 0.1033
0.4372 0.1170 0.3598
0.0628 0.8830 0.8598
0.1170 0.3598 0.4372
0.0628 0.6170 0.3598
0.6033 0.8553 0.9397
0.1033 0.8553 0.5603
0.3553 0.5603 0.3967
0.1033 0.6447 0.0603
0.3967 0.3553 0.5603
0.5628 0.8830 0.6402
0.1402 0.5628 0.6170
0.9372 0.1170 0.1402
0.6170 0.3598 0.0628
0.0000 0.5000 0.0000
0.5000 0.0000 0.0000
0.5000 0.5000 0.5000
0.0000 0.0000 0.5000
0.5000 0.5000 0.0000
0.0000 0.0000 0.0000
0.5000 0.0000 0.5000
0.0000 0.5000 0.5000
```

SG: Pa-3, No. 205

=====

No. 2
VASP calculation (GGA-PBEsol) on ReAs after structural relaxation.

```
ReAs
1.0
-2.6531 -0.4369 1.1065
1.8191 -2.2421 -0.3440
3.3570 1.4035 8.6034
As Re
2 2
Direct
0.3333 0.6667 0.1792
0.6667 0.3333 0.8208
0.6667 0.3333 0.3881
0.3333 0.6667 0.6119
```

E_form in eV per atom: 0.052
SG: P-3m1, No. 164
Energy above the most stable polymorph in this dataset in eV/f.u.: 0.00

=====

No. 3
VASP calculation (GGA-PBEsol) on ZnReSi2 after structural relaxation.

```
ZnReSi2
1.0
-0.2889 -0.7239 4.1757
1.6297 -3.5557 1.6569
3.4761 0.1901 2.4340
Si Zn Re
2 1 1
Direct
0.2500 0.2500 0.2500
0.7500 0.7500 0.7500
0.5000 0.5000 0.5000
0.0000 0.0000 0.0000
```

SG: Fm-3m, No. 225

=====

No. 4
VASP calculation (GGA-PBEsol) on DyCu2 after structural relaxation.

```
DyCu2
1.0
-2.6179 -3.2012 0.9009
1.0648 -4.4434 -2.7532
1.9026 -3.3036 3.7314
Cu Dy
4 2
Direct
0.8353 0.7170 0.6124
0.1647 0.8876 0.7830
0.8353 0.1124 0.2170
0.1647 0.2830 0.3876
0.4550 0.2950 0.7950
0.5450 0.7050 0.2050
```

E_form in eV per atom: -0.259
SG: Imma, No. 74

=====

No. 5
VASP calculation (GGA-PBEsol) on ZnIn3 after structural relaxation.

```
ZnIn3
1.0
3.3080 0.0000 0.0000
-1.6540 2.8648 0.0000
0.0000 0.0000 9.6977
In Zn
3 1
Direct
0.0000 0.0000 0.7232
0.3333 0.6667 0.0000
0.0000 0.0000 0.2768
0.3333 0.6667 0.5000
```

E_form in eV per atom: 0.087
SG: P-6m2, No. 187

=====

No. 6
VASP calculation (GGA-PBEsol) on SrCrI2N after structural relaxation.

```
SrCrI2N
1.0
3.7138 0.0000 0.0000
0.0000 5.6952 0.0000
0.0000 0.0000 5.6952
I Sr N Cr
2 1 1 1
Direct
0.0000 0.5000 0.0000
0.0000 0.0000 0.5000
0.5000 0.5000 0.5000
0.5000 0.0000 0.0000
0.0000 0.0000 0.0000
```

SG: P4/mmm, No. 123

=====

No. 7
VASP calculation (GGA-PBEsol) on MgPt2Rh after structural relaxation.

```
MgPt2Rh
1.0
-2.6567 0.7555 -0.2122
-1.2700 -4.5290 -0.2244
0.0035 1.2849 4.5304
Mg Rh Pt
1 1 2
Direct
0.5000 0.5000 0.5000
0.5000 0.0000 0.0000
0.0000 0.5000 0.0000
0.0000 0.0000 0.5000
```

E_form in eV per atom: -0.473
SG: Cmmm, No. 65

=====

No. 8
VASP calculation (GGA-PBEsol) on LaCoMo2 after structural relaxation.

```
LaCoMo2
1.0
3.7706 0.0000 0.0000
0.0000 3.7706 0.0000
-1.8853 -1.8853 4.9297
Mo La Co
2 1 1
Direct
0.7500 0.2500 0.5000
0.2500 0.7500 0.5000
0.0000 0.0000 0.0000
0.5000 0.5000 0.0000
```

E_form in eV per atom: 0.709
SG: I4/mmm, No. 139
Energy above the most stable polymorph in this dataset in eV/f.u.: 0.25

=====

No. 9
VASP calculation (GGA-PBEsol) on In5Ag after structural relaxation.

```
In5Ag
1.0
-1.9715 -0.0999 -2.5855
-2.0407 -5.3498 3.8093
-3.4385 5.1243 2.4239
Ag In
1 5
Direct
0.9723 0.9446 0.9452
0.3159 0.6319 0.0982
0.6367 0.2734 0.2663
0.6282 0.2563 0.7901
0.3080 0.6160 0.6227
0.9722 0.9445 0.4442
```

E_form in eV per atom: 0.025
SG: Cm, No. 8
Energy above the most stable polymorph in this dataset in eV/f.u.: 0.13

=====

No. 10
VASP calculation (GGA-PBEsol) on TcMo2PPb after structural relaxation.

```
TcMo2PPb
1.0
-0.5350 3.5287 2.9896
-2.7503 -2.6624 2.6502
4.0706 -1.6000 2.6170
Pb Mo P Tc
1 2 1 1
Direct
0.0000 0.0000 0.5000
0.5000 0.0000 0.0000
0.0000 0.5000 0.0000
0.5000 0.5000 0.5000
0.0000 0.0000 0.0000
```

E_form in eV per atom: 1.644
SG: P4/mmm, No. 123

=====

No. 11
VASP calculation (GGA-PBEsol) on La2AlTe after structural relaxation.

```
La2AlTe
1.0
4.2795 0.0000 0.0000
2.1397 3.7061 0.0000
2.1397 1.2354 8.0419
La Te Al
2 1 1
Direct
0.2497 0.2497 0.2508
0.7503 0.7503 0.7492
0.0000 0.0000 0.0000
0.5000 0.5000 0.5000
```

SG: R-3m, No. 166
Energy above the most stable polymorph in this dataset in eV/f.u.: 0.00

=====

No. 12
VASP calculation (GGA-PBEsol) on AlFe2Co after structural relaxation.

```
AlFe2Co
1.0
2.8158 0.0000 0.0000
0.0000 3.9262 0.0000
0.0000 0.0000 3.9955
Fe Al Co
2 1 1
Direct
0.5000 0.5000 0.0000
0.0000 0.0000 0.0000
0.5000 0.0000 0.5000
0.0000 0.5000 0.5000
```

E_form in eV per atom: -0.231
SG: Pmmm, No. 47

=====

No. 13
VASP calculation (GGA-PBEsol) on K2Te2As after structural relaxation.

```
K2Te2As
1.0
-2.4352 -6.3932 -4.4359
6.5680 -5.0286 3.6418
-12.2463 -5.4441 14.5691
K As Te
16 8 16
Direct
0.2500 0.8956 0.2161
0.2500 0.0835 0.0429
0.2500 0.5010 0.1886
0.7500 0.9165 0.9571
0.7500 0.0010 0.3114
0.7500 0.0746 0.5602
0.7500 0.3956 0.2839
0.7500 0.5835 0.4571
0.2500 0.6044 0.7161
0.2500 0.9254 0.4398
0.7500 0.1044 0.7839
0.2500 0.9990 0.6886
0.7500 0.4990 0.8114
0.2500 0.5746 0.9398
0.7500 0.4254 0.0602
0.2500 0.4165 0.5429
0.7500 0.4299 0.6142
0.7500 0.6922 0.6538
0.7500 0.8078 0.1538
0.7500 0.0701 0.1142
0.2500 0.1922 0.8462
0.2500 0.9299 0.8858
0.2500 0.5701 0.3858
0.2500 0.3078 0.3462
0.9965 0.3170 0.6807
0.9916 0.2584 0.9185
0.0084 0.7416 0.0815
0.4916 0.7584 0.5815
0.5035 0.3170 0.6807
0.4965 0.8170 0.8193
0.9965 0.1830 0.1807
0.5084 0.2416 0.4185
0.4965 0.6830 0.3193
0.0084 0.7584 0.5815
0.5084 0.2584 0.9185
0.9916 0.2416 0.4185
0.0035 0.6830 0.3193
0.5035 0.1830 0.1807
0.4916 0.7416 0.0815
0.0035 0.8170 0.8193
```

SG: Pnma, No. 62

=====

No. 14
VASP calculation (GGA-PBEsol) on LaSbOs3 after structural relaxation.

```
LaSbOs3
1.0
-2.2688 2.5372 3.4296
-4.1573 -2.1865 -1.1326
0.9572 -3.4826 3.2097
Os Sb La
3 1 1
Direct
0.0000 0.0000 0.5000
0.0000 0.5000 0.0000
0.5000 0.0000 0.0000
0.5000 0.5000 0.5000
0.0000 0.0000 0.0000
```

SG: Pm-3m, No. 221

=====

No. 15
VASP calculation (GGA-PBEsol) on NbCoMoAu2 after structural relaxation.

```
NbCoMoAu2
1.0
-3.8461 1.1635 -1.1132
-0.8711 -4.5064 -1.7005
-1.6777 -1.3360 4.3998
Mo Nb Au Co
1 1 2 1
Direct
0.0000 0.0000 0.0000
0.5000 0.5000 0.5000
0.0000 0.5000 0.0000
0.0000 0.0000 0.5000
0.5000 0.0000 0.0000
```

E_form in eV per atom: 1.529
SG: P4/mmm, No. 123

=====

No. 16
VASP calculation (GGA-PBEsol) on CsMgSeN2 after structural relaxation.

```
CsMgSeN2
1.0
-3.8841 1.6456 -0.4946
-0.4315 -2.1175 -3.6564
-2.6653 -5.2778 3.3710
N Cs Mg Se
2 1 1 1
Direct
0.0000 0.5000 0.0000
0.5000 0.0000 0.0000
0.0000 0.0000 0.0000
0.5000 0.5000 0.5000
0.0000 0.0000 0.5000
```

SG: P4/mmm, No. 123

=====

No. 17
VASP calculation (GGA-PBEsol) on GdSi2Ir2 after structural relaxation.

```
GdSi2Ir2
1.0
4.0456 0.0000 0.0000
0.0000 4.0456 0.0000
-2.0228 -2.0228 4.9757
Ir Si Gd
2 2 1
Direct
0.7500 0.2500 0.5000
0.2500 0.7500 0.5000
0.6216 0.6216 0.2431
0.3784 0.3784 0.7569
0.0000 0.0000 0.0000
```

SG: I4/mmm, No. 139

=====

No. 18
VASP calculation (GGA-PBEsol) on SrCaB11H7O22 after structural relaxation.

```
SrCaB11H7O22
1.0
-3.6192 -4.0956 -3.7338
6.6586 -0.0856 -0.5517
1.0236 -14.1704 14.5515
O B H Sr Ca
44 22 14 2 2
Direct
0.6066 0.1761 0.3102
0.1324 0.6536 0.6486
0.6886 0.1916 0.5113
0.2225 0.3937 0.2470
0.7775 0.6063 0.7470
0.4051 0.1956 0.9995
0.9983 0.9539 0.2320
0.7608 0.9439 0.1397
0.4439 0.5645 0.6391
0.7096 0.3953 0.4101
0.0017 0.0461 0.7320
0.7205 0.1051 0.0088
0.3114 0.8084 0.0113
0.1701 0.1412 0.1281
0.8017 0.4952 0.0021
0.8299 0.8588 0.6281
0.3051 0.5628 0.3557
0.2392 0.0561 0.6397
0.3982 0.7797 0.2538
0.4828 0.3989 0.5040
0.0454 0.1341 0.4097
0.2904 0.6047 0.9101
0.5172 0.6011 0.0040
0.8676 0.3464 0.1486
0.4745 0.0478 0.1424
0.5255 0.9522 0.6424
0.9607 0.7324 0.1333
0.2062 0.4569 0.7366
0.1058 0.3961 0.0097
0.5561 0.4355 0.1391
0.8942 0.6039 0.5097
0.9546 0.8659 0.9097
0.4947 0.0172 0.9110
0.7938 0.5431 0.2366
0.0955 0.2307 0.8348
0.6018 0.2203 0.7538
0.0393 0.2676 0.6333
0.6949 0.4372 0.8557
0.3934 0.8239 0.8102
0.9045 0.7693 0.3348
0.5949 0.8044 0.4995
0.5053 0.9828 0.4110
0.1983 0.5048 0.5021
0.2795 0.8949 0.5088
0.6915 0.4224 0.7885
0.2881 0.8814 0.6438
0.3900 0.8125 0.8777
0.0251 0.0586 0.6603
0.1019 0.2465 0.7676
0.7945 0.5185 0.1638
0.5632 0.4244 0.0015
0.3992 0.2067 0.1369
0.2055 0.4815 0.6638
0.4368 0.5756 0.5015
0.7119 0.1186 0.1438
0.1227 0.6656 0.5065
0.8773 0.3344 0.0065
0.4813 0.0251 0.9833
0.3031 0.6041 0.9827
0.3085 0.5776 0.2885
0.6969 0.3959 0.4827
0.6100 0.1875 0.3777
0.9749 0.9414 0.1603
0.6008 0.7933 0.6369
0.8981 0.7535 0.2676
0.5187 0.9749 0.4833
0.1414 0.2875 0.3891
0.1716 0.3758 0.8620
0.8586 0.7125 0.8891
0.4768 0.9334 0.2773
0.8652 0.7741 0.7569
0.6804 0.3233 0.2834
0.3783 0.7196 0.3769
0.0003 0.0073 0.3768
0.6217 0.2804 0.8769
0.1348 0.2259 0.2569
0.9997 0.9927 0.8768
0.5232 0.0666 0.7773
0.8284 0.6242 0.3620
0.3196 0.6767 0.7834
0.7006 0.3842 0.6348
0.2994 0.6158 0.1348
0.0198 0.0840 0.5199
0.9802 0.9160 0.0199
```

SG: P2_1, No. 4

=====

No. 19
VASP calculation (GGA-PBEsol) on Fe5Si after structural relaxation.

```
Fe5Si
1.0
2.8426 0.0000 0.0000
-1.4213 4.3576 0.0088
0.0000 -1.7202 5.1745
Fe Si
5 1
Direct
0.1679 0.3358 0.3351
0.5000 0.0000 0.0000
0.1677 0.3353 0.8336
0.8321 0.6642 0.6649
0.8323 0.6647 0.1664
0.5000 0.0000 0.5000
```

SG: C2/m, No. 12
Energy above the most stable polymorph in this dataset in eV/f.u.: 0.06

=====

No. 20
VASP calculation (GGA-PBEsol) on SbTeOs2 after structural relaxation.

```
SbTeOs2
1.0
-1.4768 -2.2648 -1.2479
2.2027 1.3423 -1.4899
6.7235 -6.5898 4.0029
Sb Os Te
1 2 1
Direct
0.0000 0.0000 0.4544
0.5000 0.0000 0.2277
0.0000 0.0000 0.0224
0.5000 0.0000 0.7955
```

SG: Cmm2, No. 35
Energy above the most stable polymorph in this dataset in eV/f.u.: 0.30

=====

| no. | total DFT energy (no corrections) (eV per atom) | magnetization (μB per atom) |
| --- | --- | --- |
| 1 | -3.848 | 0.01 |
| 2 | -9.167 | 0.00 |
| 3 | -6.344 | 0.00 |
| 4 | -4.808 | 0.00 |
| 5 | -2.546 | 0.00 |
| 6 | -5.332 | 0.51 |
| 7 | -6.419 | 0.00 |
| 8 | -8.446 | 0.00 |
| 9 | -3.012 | 0.00 |
| 10 | -7.275 | 0.42 |
| 11 | -5.393 | 0.00 |
| 12 | -7.670 | 1.15 |
| 13 | -3.531 | 0.00 |
| 14 | -6.571 | 0.00 |
| 15 | -6.106 | 0.30 |
| 16 | -2.904 | 0.25 |
| 17 | -10.239 | 1.41 |
| 18 | -7.468 | 0.00 |
| 19 | -8.616 | 1.59 |
| 20 | -7.268 | 0.00 |